Entry from Alexandria: an optimized crystal structure of Si2MoRu (PBE-GGA).

a = 3.0022 Å, b = 3.8905 Å, c = 4.8695 Å
α = 90.00°, β = 90.00°, γ = 90.00°
Closest atoms and distances in Å follow each position.
Atoms (fractional coordinates):
Si  0.0000  0.0000  0.0000  4 Ru 2.46
Si  0.5000  0.0000  0.5000  4 Mo 2.46
Mo  0.0000  0.5000  0.5000  4 Si 2.46
Ru  0.5000  0.5000  0.0000  4 Si 2.46

Results
SG: Pmmm (47)
D(E_F) in states/eV/cell: 3.2
Raw formation energy in meV per atom: -104



Entry from Alexandria: an optimized crystal structure of SiMo2Ru (PBE-GGA).

a = 5.1241 Å, b = 5.1241 Å, c = 5.1241 Å
α = 146.04°, β = 129.24°, γ = 62.48°
Closest atoms and distances in Å follow each position.
Atoms (fractional coordinates):
Si  0.0000  0.0000  0.0000  2 Ru 2.47, 6 Mo 2.59-2.66
Mo  0.2406  0.7406  0.5000  2 Si 2.59, 4 Ru 2.68, 2 Mo 2.79
Mo  0.5100  0.5100  0.0000  4 Si 2.66, 2 Ru 2.77, 2 Mo 2.79
Ru  0.7758  0.2758  0.5000  2 Si 2.47, 4 Mo 2.68

Results
SG: Imm2 (44)
D(E_F) in states/eV/cell: 3.5
Raw formation energy in meV per atom: -165